The following is a DFT calculation (GGA-PBE) of an optimized crystal structure of Th6Tl5Hg.

It has space group P2/m (No. 10), with a = 4.9889 Å, b = 9.2897 Å, c = 7.8713 Å, α = 90.00°, β = 108.05° and γ = 90.00°. The distinct sites, in fractional coordinates, are Th at (0.0000, 0.2471, 0.0000), Th at (0.3340, 0.2488, 0.6679), Tl at (0.1659, 0.0000, 0.3323), Tl at (0.1668, 0.5000, 0.3336), Tl at (0.5000, 0.5000, 0.0000) and Hg at (0.5000, 0.0000, 0.0000).

The value obtained for the density of states at the Fermi level is 15.09 states/eV/cell. For the total energy, the calculation gives -58.48 eV/cell. The calculation puts the formation energy at -152 meV per atom.